## Ag2Te (PBE-GGA)

Data for an optimized crystal structure of Ag2Te.

a b c (Å): 9.4656 9.4656 9.4656
angles (deg): 60.00 60.00 60.00
Last column: nearest neighbours and their distance in Å.
Sites, in units of the cell vectors:
Ag 0.0000 0.0000 0.0000  6 Ag 3.13, 6 Te 3.20
Ag 0.0000 0.0000 0.5000  6 Ag 3.13, 6 Te 3.20
Ag 0.0000 0.5000 0.0000  6 Ag 3.13, 6 Te 3.20
Ag 0.1528 0.1528 0.5972  4 Te 2.82-3.08, 2 Ag 3.13
Ag 0.1528 0.5972 0.1528  4 Te 2.82-3.08, 2 Ag 3.13
Ag 0.1528 0.5972 0.5972  4 Te 2.82-3.08, 2 Ag 3.13
Ag 0.4028 0.4028 0.8472  4 Te 2.82-3.08, 2 Ag 3.13
Ag 0.4028 0.8472 0.4028  4 Te 2.82-3.08, 2 Ag 3.13
Ag 0.4028 0.8472 0.8472  4 Te 2.82-3.08, 2 Ag 3.13
Ag 0.5000 0.0000 0.0000  6 Ag 3.13, 6 Te 3.20
Ag 0.5972 0.1528 0.1528  4 Te 2.82-3.08, 2 Ag 3.13
Ag 0.5972 0.1528 0.5972  4 Te 2.82-3.08, 2 Ag 3.13
Ag 0.5972 0.5972 0.1528  4 Te 2.82-3.08, 2 Ag 3.13
Ag 0.8472 0.4028 0.4028  4 Te 2.82-3.08, 2 Ag 3.13
Ag 0.8472 0.4028 0.8472  4 Te 2.82-3.08, 2 Ag 3.13
Ag 0.8472 0.8472 0.4028  4 Te 2.82-3.08, 2 Ag 3.13
Te 0.2166 0.7611 0.7611  6 Ag 2.82-3.08
Te 0.2389 0.2389 0.2389  6 Ag 2.82-3.08
Te 0.2389 0.2389 0.7834  6 Ag 2.82-3.08
Te 0.2389 0.7834 0.2389  6 Ag 2.82-3.08
Te 0.7611 0.2166 0.7611  6 Ag 2.82-3.08
Te 0.7611 0.7611 0.2166  6 Ag 2.82-3.08
Te 0.7611 0.7611 0.7611  6 Ag 2.82-3.08
Te 0.7834 0.2389 0.2389  6 Ag 2.82-3.08

Output
Symmetry: Fd-3m (227)
Uncorrected formation energy, eV/atom: 0.03
Size of the total moment, μB/cell: 0.00